Entry 1:
Here is a geometry-optimized YBiPd2 structure from OQMD via LeMat-Bulk. Energies are from GGA-PBE.

Results
- space-group type = No. 216
- final energy (eV/cell) = -23.06

Cell lengths 4.9055, 4.9055, 4.9055 Å; angles 60.00, 60.00, 60.00 degrees
Fractional coordinates of all 4 atoms:
Pd1 0.0000 0.0000 0.0000
Bi1 0.5000 0.5000 0.5000
Pd2 0.7500 0.7500 0.7500
Y1 0.2500 0.2500 0.2500

=====

Entry 2:
Here is a geometry-optimized YBi2Pd structure from OQMD via LeMat-Bulk. Energies are from GGA-PBE.

Results
- space-group type = No. 216
- final energy (eV/cell) = -21.00

Cell lengths 5.2676, 5.2676, 5.2676 Å; angles 60.00, 60.00, 60.00 degrees
Fractional coordinates of all 4 atoms:
Pd1 0.5000 0.5000 0.5000
Y1 0.2500 0.2500 0.2500
Bi1 0.0000 0.0000 0.0000
Bi2 0.7500 0.7500 0.7500

=====

Entry 3:
Here is a geometry-optimized YBiPd structure from OQMD via LeMat-Bulk. Energies are from GGA-PBE.

Results
- space-group type = No. 189
- final energy (eV/cell) = -54.27

Cell lengths 7.6771, 7.6771, 4.1960 Å; angles 90.00, 90.00, 120.00 degrees
Fractional coordinates of all 9 atoms:
Bi1 0.0000 0.2718 0.0000
Bi2 0.7282 0.7282 0.0000
Pd1 0.6667 0.3333 0.0000
Pd2 0.0000 0.0000 0.5000
Bi3 0.2718 0.0000 0.0000
Pd3 0.3333 0.6667 0.0000
Y1 0.3927 0.3927 0.5000
Y2 0.0000 0.6073 0.5000
Y3 0.6073 0.0000 0.5000

=====

Entry 4:
Here is a geometry-optimized ZnBiPd2 structure from OQMD via LeMat-Bulk. Energies are from GGA-PBE.

Results
- space-group type = No. 216
- final energy (eV/cell) = -16.36

Cell lengths 4.6980, 4.6980, 4.6980 Å; angles 60.00, 60.00, 60.00 degrees
Fractional coordinates of all 4 atoms:
Pd1 0.7500 0.7500 0.7500
Pd2 0.0000 0.0000 0.0000
Zn1 0.2500 0.2500 0.2500
Bi1 0.5000 0.5000 0.5000

=====

Entry 5:
Here is a geometry-optimized ZnBiPd structure from OQMD via LeMat-Bulk. Energies are from GGA-PBE.

Results
- space-group type = No. 216
- final energy (eV/cell) = -10.33

Cell lengths 4.6386, 4.6386, 4.6386 Å; angles 60.00, 60.00, 60.00 degrees
Fractional coordinates of all 3 atoms:
Bi1 0.0000 0.0000 0.0000
Zn1 0.7500 0.7500 0.7500
Pd1 0.2500 0.2500 0.2500

=====

Entry 6:
Here is a geometry-optimized Zr3Bi4Pd4 structure from OQMD via LeMat-Bulk. Energies are from GGA-PBE.

Results
- energy above the most stable polymorph in this dataset (eV per atom) = 0.0815
- space-group type = No. 6
- final energy (eV/cell) = -67.47

Cell lengths 7.0114, 4.4486, 7.9727 Å; angles 90.00, 92.18, 90.00 degrees
Fractional coordinates of all 11 atoms:
Bi1 0.2009 0.2500 0.0576
Pd1 0.6085 0.2500 0.0624
Pd2 0.7788 0.7500 0.5824
Bi2 0.7890 0.7500 0.9175
Pd3 0.3856 0.7500 0.9286
Bi3 0.1980 0.7500 0.6128
Bi4 0.7674 0.2500 0.3886
Pd4 0.2620 0.2500 0.4117
Zr1 0.0089 0.7500 0.2487
Zr2 0.5239 0.2500 0.7057
Zr3 0.4750 0.7500 0.2812

=====

Entry 7:
Here is a geometry-optimized Zr3Bi2Pd2 structure from OQMD via LeMat-Bulk. Energies are from GGA-PBE.

Results
- space-group type = No. 160
- final energy (eV/cell) = -45.99

Cell lengths 8.3820, 8.3820, 8.3820 Å; angles 33.69, 33.69, 33.69 degrees
Fractional coordinates of all 7 atoms:
Bi1 0.7542 0.7542 0.7542
Bi2 0.2434 0.2434 0.2434
Zr1 0.3736 0.3736 0.3736
Pd1 0.0073 0.0073 0.0073
Pd2 0.4944 0.4944 0.4944
Zr2 0.8755 0.8755 0.8755
Zr3 0.6266 0.6266 0.6266

=====

Entry 8:
Here is a geometry-optimized Zr3Bi4Pd4 structure from OQMD via LeMat-Bulk. Energies are from GGA-PBE.

Results
- energy above the most stable polymorph in this dataset (eV per atom) = 0.0000
- space-group type = No. 121
- final energy (eV/cell) = -68.36

Cell lengths 6.4918, 6.4918, 7.8919 Å; angles 65.71, 65.71, 90.00 degrees
Fractional coordinates of all 11 atoms:
Bi1 0.5000 0.0000 0.0000
Pd1 0.1362 0.6052 0.2586
Pd2 0.3948 0.3948 0.7414
Zr1 0.5000 0.5000 0.0000
Bi2 0.0000 0.5000 0.0000
Bi3 0.2329 0.2329 0.5342
Bi4 0.7671 0.7671 0.4658
Zr2 0.2500 0.7500 0.5000
Pd3 0.6052 0.1362 0.2586
Pd4 0.8638 0.8638 0.7414
Zr3 0.7500 0.2500 0.5000

=====

Entry 9:
Here is a geometry-optimized Pm5Bi3 structure from OQMD via LeMat-Bulk. Energies are from GGA-PBE.

Results
- space-group type = No. 193
- final energy (eV/cell) = -84.33

Cell lengths 9.4230, 9.4230, 6.5303 Å; angles 90.00, 90.00, 120.00 degrees
Fractional coordinates of all 16 atoms:
Bi1 0.0000 0.3878 0.2500
Pm1 0.6667 0.3333 0.5000
Pm2 0.0000 0.2463 0.7500
Bi2 0.0000 0.6122 0.7500
Bi3 0.3878 0.0000 0.2500
Bi4 0.6122 0.6122 0.2500
Bi5 0.3878 0.3878 0.7500
Pm3 0.0000 0.7537 0.2500
Pm4 0.6667 0.3333 0.0000
Pm5 0.2463 0.2463 0.2500
Pm6 0.7537 0.7537 0.7500
Pm7 0.2463 0.0000 0.7500
Bi6 0.6122 0.0000 0.7500
Pm8 0.3333 0.6667 0.0000
Pm9 0.7537 0.0000 0.2500
Pm10 0.3333 0.6667 0.5000

=====

Entry 10:
Here is a geometry-optimized PmPr4Bi5 structure from OQMD via LeMat-Bulk. Energies are from GGA-PBE.

Results
- space-group type = No. 139
- final energy (eV/cell) = -53.81

Cell lengths 16.6347, 16.6347, 16.6347 Å; angles 164.05, 164.05, 22.62 degrees
Fractional coordinates of all 10 atoms:
Pr1 0.5998 0.5998 0.0000
Pr2 0.4002 0.4002 0.0000
Pr3 0.1997 0.1997 0.0000
Bi1 0.3000 0.3000 0.0000
Pr4 0.8003 0.8003 0.0000
Bi2 0.9008 0.9008 0.0000
Pm1 0.0000 0.0000 0.0000
Bi3 0.7000 0.7000 0.0000
Bi4 0.0992 0.0992 0.0000
Bi5 0.5000 0.5000 0.0000

=====

Entry 11:
Here is a geometry-optimized PmPrBi structure from OQMD via LeMat-Bulk. Energies are from GGA-PBE.

Results
- energy above the most stable polymorph in this dataset (eV per atom) = 0.0000
- space-group type = No. 216
- final energy (eV/cell) = -14.93

Cell lengths 5.3332, 5.3332, 5.3332 Å; angles 60.00, 60.00, 60.00 degrees
Fractional coordinates of all 3 atoms:
Bi1 0.0000 0.0000 0.0000
Pm1 0.2500 0.2500 0.2500
Pr1 0.7500 0.7500 0.7500

=====

Entry 12:
Here is a geometry-optimized Pm2Pr3Bi3 structure from OQMD via LeMat-Bulk. Energies are from GGA-PBE.

Results
- space-group type = No. 193
- final energy (eV/cell) = -84.67

Cell lengths 9.5050, 9.5050, 6.5972 Å; angles 90.00, 90.00, 120.00 degrees
Fractional coordinates of all 16 atoms:
Pm1 0.6667 0.3333 0.0000
Bi1 0.6102 0.6102 0.2500
Pm2 0.3333 0.6667 0.5000
Bi2 0.0000 0.3898 0.2500
Pr1 0.2469 0.2469 0.2500
Pm3 0.6667 0.3333 0.5000
Pr2 0.0000 0.2469 0.7500
Bi3 0.3898 0.0000 0.2500
Pr3 0.2469 0.0000 0.7500
Pm4 0.3333 0.6667 0.0000
Pr4 0.7531 0.7531 0.7500
Bi4 0.3898 0.3898 0.7500
Pr5 0.0000 0.7531 0.2500
Bi5 0.0000 0.6102 0.7500
Bi6 0.6102 0.0000 0.7500
Pr6 0.7531 0.0000 0.2500